(1)
RbLiPb3: relaxed, PBE.

Cell lengths 6.242, 6.242, 6.242 Å; angles 90.00, 90.00, 90.00 degrees
Space group Pm-3m (No. 221)
One atom of each set of equivalent atoms:
Rb 0.000 0.000 0.000 (multiplicity 1)
Li 0.500 0.500 0.500 (multiplicity 1)
Pb 0.000 0.000 0.500 (multiplicity 3)

Results
**Raw total energy**: -9.2 eV/cell
**ΔE to the lowest computed polymorph**: 541 kJ/mol of formula units


(2)
SbTe2RuI: relaxed, PBE.

Cell lengths 5.198, 5.198, 5.379 Å; angles 90.00, 90.00, 90.00 degrees
Space group P4/mmm (No. 123)
One atom of each set of equivalent atoms:
Sb 0.000 0.000 0.000 (multiplicity 1)
Te 0.000 0.500 0.500 (multiplicity 2)
Ru 0.500 0.500 0.500 (multiplicity 1)
I 0.500 0.500 0.000 (multiplicity 1)

Results
**Raw total energy**: -18.9 eV/cell
**ΔE to the lowest computed polymorph**: 37 kJ/mol of formula units
**Energy relative to the elements, uncorrected**: 0.460 eV/atom


(3)
Re2HgMo: relaxed, PBE.

Cell lengths 2.8289, 2.8289, 28.6338 Å; angles 90.00, 90.00, 120.00 degrees
Space group R3m (No. 160, hexagonal axes)
One atom of each set of equivalent atoms:
Re 0.0000 0.0000 0.0000 (multiplicity 3)
Re 0.0000 0.0000 0.2594 (multiplicity 3)
Hg 0.0000 0.0000 0.5031 (multiplicity 3)
Mo 0.0000 0.0000 0.7473 (multiplicity 3)

Results
**Raw total energy**: -103.6 eV/cell


(4)
CaMnTl2Sn: relaxed, PBE.

Cell lengths 5.162, 5.162, 5.068 Å; angles 90.00, 90.00, 90.00 degrees
Space group P4/mmm (No. 123)
One atom of each set of equivalent atoms:
Ca 0.000 0.000 0.000 (multiplicity 1)
Mn 0.500 0.500 0.500 (multiplicity 1)
Tl 0.000 0.500 0.500 (multiplicity 2)
Sn 0.500 0.500 0.000 (multiplicity 1)

Results
**Raw total energy**: -19.6 eV/cell


(5)
SrGa2PH: relaxed, PBE.

Cell lengths 4.786, 4.786, 6.018 Å; angles 90.00, 90.00, 90.00 degrees
Space group P4/mmm (No. 123)
One atom of each set of equivalent atoms:
Sr 0.000 0.000 0.000 (multiplicity 1)
Ga 0.000 0.500 0.500 (multiplicity 2)
P 0.000 0.000 0.500 (multiplicity 1)
H 0.500 0.500 0.000 (multiplicity 1)

Results
**Raw total energy**: -15.3 eV/cell


(6)
Cs2TlZn2H6: relaxed, PBE.

Cell lengths 11.132, 6.155, 7.600 Å; angles 90.00, 120.80, 90.00 degrees
Space group C2/m (No. 12)
One atom of each set of equivalent atoms:
Cs 0.217 0.000 0.190 (multiplicity 4)
Tl 0.000 0.000 0.500 (multiplicity 2)
Zn 0.052 0.500 0.205 (multiplicity 4)
H 0.019 0.270 0.783 (multiplicity 8)
H 0.224 0.500 0.318 (multiplicity 4)

Results
**Raw total energy**: -54.2 eV/cell


Copy entry 4 word for word.
CaMnTl2Sn: relaxed, PBE.

Cell lengths 5.162, 5.162, 5.068 Å; angles 90.00, 90.00, 90.00 degrees
Space group P4/mmm (No. 123)
One atom of each set of equivalent atoms:
Ca 0.000 0.000 0.000 (multiplicity 1)
Mn 0.500 0.500 0.500 (multiplicity 1)
Tl 0.000 0.500 0.500 (multiplicity 2)
Sn 0.500 0.500 0.000 (multiplicity 1)

Results
**Raw total energy**: -19.6 eV/cell